(1)
Nd6Ho2Tm3Sc | PBE-GGA | optimized geometry

Structure (CIF):
```
data_Nd6Ho2Tm3Sc
_cell_length_a 6.2120
_cell_length_b 6.2120
_cell_length_c 11.6865
_cell_angle_alpha 95.08
_cell_angle_beta 95.08
_cell_angle_gamma 120.00
_symmetry_space_group_name_H-M 'P 1'
_symmetry_Int_Tables_number 1
_symmetry_space_group_name_Hall 'P 1'
loop_
_atom_site_label
_atom_site_fract_x
_atom_site_fract_y
_atom_site_fract_z
Nd1 0.0828 0.4135 0.7486
Nd2 0.2480 0.2480 0.2513
Nd3 0.4135 0.0828 0.7486
Nd4 0.5865 0.9172 0.2514
Nd5 0.7520 0.7520 0.7487
Nd6 0.9172 0.5865 0.2514
Ho1 0.3333 0.6667 0.5000
Ho2 0.6667 0.3333 0.5000
Tm1 0.1666 0.8334 0.0000
Tm2 0.5000 0.5000 0.0000
Tm3 0.8334 0.1666 0.0000
Sc1 0.0000 0.0000 0.5000
```

Results
The total energy comes out at -4.7674 eV/atom. As for the symmetry: No. 12.

=====

(2)
Nd2HoTmSc | PBE-GGA | optimized geometry

Structure (CIF):
```
data_Nd2HoTmSc
_cell_length_a 8.5387
_cell_length_b 8.5387
_cell_length_c 6.4375
_cell_angle_alpha 90.00
_cell_angle_beta 90.00
_cell_angle_gamma 135.74
_symmetry_space_group_name_H-M 'P 1'
_symmetry_Int_Tables_number 1
_symmetry_space_group_name_Hall 'P 1'
loop_
_atom_site_label
_atom_site_fract_x
_atom_site_fract_y
_atom_site_fract_z
Nd1 0.2488 0.2488 0.0000
Nd2 0.2488 0.2488 0.5000
Nd3 0.7512 0.7512 0.0000
Nd4 0.7512 0.7512 0.5000
Ho1 0.3391 0.6609 0.7500
Ho2 0.6609 0.3391 0.2500
Tm1 0.2502 0.7498 0.2500
Tm2 0.7498 0.2502 0.7500
Sc1 0.1552 0.8448 0.7500
Sc2 0.8448 0.1552 0.2500
```

Results
The total energy comes out at -4.5871 eV/atom. As for the symmetry: No. 63.

=====

(3)
NdY2Ho5Sc | PBE-GGA | optimized geometry

Structure (CIF):
```
data_NdY2Ho5Sc
_cell_length_a 10.1954
_cell_length_b 10.1954
_cell_length_c 10.3931
_cell_angle_alpha 90.00
_cell_angle_beta 90.00
_cell_angle_gamma 148.25
_symmetry_space_group_name_H-M 'P 1'
_symmetry_Int_Tables_number 1
_symmetry_space_group_name_Hall 'P 1'
loop_
_atom_site_label
_atom_site_fract_x
_atom_site_fract_y
_atom_site_fract_z
Nd1 0.0857 0.9143 0.5000
Nd2 0.9143 0.0857 0.0000
Y1 0.3867 0.6133 0.7791
Y2 0.3888 0.6112 0.3606
Y3 0.6112 0.3888 0.8606
Y4 0.6133 0.3867 0.2791
Ho1 0.0188 0.9812 0.7834
Ho2 0.1220 0.8780 0.0651
Ho3 0.2020 0.7980 0.7501
Ho4 0.2219 0.7781 0.3658
Ho5 0.4801 0.5199 0.0659
Ho6 0.5199 0.4801 0.5659
Ho7 0.7781 0.2219 0.8658
Ho8 0.7980 0.2020 0.2501
Ho9 0.8780 0.1220 0.5651
Ho10 0.9812 0.0188 0.2834
Sc1 0.3026 0.6974 0.0591
Sc2 0.6974 0.3026 0.5591
```

Results
The total energy comes out at -5.0417 eV/atom. As for the symmetry: No. 36.

=====

(4)
Nd2Y6HoSc3 | PBE-GGA | optimized geometry

Structure (CIF):
```
data_Nd2Y6HoSc3
_cell_length_a 6.1050
_cell_length_b 6.1050
_cell_length_c 11.5682
_cell_angle_alpha 95.05
_cell_angle_beta 95.05
_cell_angle_gamma 119.99
_symmetry_space_group_name_H-M 'P 1'
_symmetry_Int_Tables_number 1
_symmetry_space_group_name_Hall 'P 1'
loop_
_atom_site_label
_atom_site_fract_x
_atom_site_fract_y
_atom_site_fract_z
Nd1 0.1668 0.8332 0.0000
Nd2 0.8332 0.1668 0.0000
Y1 0.0803 0.4130 0.7389
Y2 0.2543 0.2543 0.2610
Y3 0.4130 0.0803 0.7389
Y4 0.5870 0.9197 0.2611
Y5 0.7457 0.7457 0.7390
Y6 0.9197 0.5870 0.2611
Ho1 0.5000 0.5000 0.0000
Sc1 0.0000 0.0000 0.5000
Sc2 0.3337 0.6663 0.5000
Sc3 0.6663 0.3337 0.5000
```

Results
The total energy comes out at -5.9394 eV/atom. As for the symmetry: No. 12.

=====

(5)
NdY5Ho2Sc | PBE-GGA | optimized geometry

Structure (CIF):
```
data_NdY5Ho2Sc
_cell_length_a 10.3315
_cell_length_b 10.3315
_cell_length_c 10.3877
_cell_angle_alpha 90.00
_cell_angle_beta 90.00
_cell_angle_gamma 148.70
_symmetry_space_group_name_H-M 'P 1'
_symmetry_Int_Tables_number 1
_symmetry_space_group_name_Hall 'P 1'
loop_
_atom_site_label
_atom_site_fract_x
_atom_site_fract_y
_atom_site_fract_z
Nd1 0.0883 0.9117 0.5000
Nd2 0.9117 0.0883 0.0000
Y1 0.0198 0.9802 0.7888
Y2 0.1275 0.8725 0.0726
Y3 0.2018 0.7982 0.7548
Y4 0.2265 0.7735 0.3810
Y5 0.4824 0.5176 0.0696
Y6 0.5176 0.4824 0.5696
Y7 0.7735 0.2265 0.8810
Y8 0.7982 0.2018 0.2548
Y9 0.8725 0.1275 0.5726
Y10 0.9802 0.0198 0.2888
Ho1 0.3855 0.6145 0.7869
Ho2 0.3894 0.6106 0.3651
Ho3 0.6106 0.3894 0.8651
Ho4 0.6145 0.3855 0.2869
Sc1 0.3072 0.6928 0.0677
Sc2 0.6928 0.3072 0.5677
```

Results
The total energy comes out at -5.6727 eV/atom. As for the symmetry: No. 36.

=====

(6)
Nd5YHo2Sc | PBE-GGA | optimized geometry

Structure (CIF):
```
data_Nd5YHo2Sc
_cell_length_a 11.2853
_cell_length_b 11.2853
_cell_length_c 10.2451
_cell_angle_alpha 90.00
_cell_angle_beta 90.00
_cell_angle_gamma 152.43
_symmetry_space_group_name_H-M 'P 1'
_symmetry_Int_Tables_number 1
_symmetry_space_group_name_Hall 'P 1'
loop_
_atom_site_label
_atom_site_fract_x
_atom_site_fract_y
_atom_site_fract_z
Nd1 0.0001 0.9999 0.0000
Nd2 0.9999 0.0001 0.5000
Nd3 0.1266 0.8734 0.7502
Nd4 0.2213 0.7787 0.4387
Nd5 0.2217 0.7783 0.0625
Nd6 0.4989 0.5011 0.2501
Nd7 0.5011 0.4989 0.7501
Nd8 0.7783 0.2217 0.5625
Nd9 0.7787 0.2213 0.9387
Nd10 0.8734 0.1266 0.2502
Y1 0.1017 0.8983 0.2500
Y2 0.8983 0.1017 0.7500
Ho1 0.3840 0.6160 0.5021
Ho2 0.3844 0.6156 0.9980
Ho3 0.6160 0.3840 0.0021
Ho4 0.6156 0.3844 0.4980
Sc1 0.2864 0.7136 0.7506
Sc2 0.7136 0.2864 0.2506
```

Results
The total energy comes out at -4.9606 eV/atom. As for the symmetry: No. 36.

=====

(7)
NdY2Ho2Sc | PBE-GGA | optimized geometry

Structure (CIF):
```
data_NdY2Ho2Sc
_cell_length_a 6.5164
_cell_length_b 17.4714
_cell_length_c 3.3545
_cell_angle_alpha 90.00
_cell_angle_beta 90.00
_cell_angle_gamma 90.00
_symmetry_space_group_name_H-M 'P 1'
_symmetry_Int_Tables_number 1
_symmetry_space_group_name_Hall 'P 1'
loop_
_atom_site_label
_atom_site_fract_x
_atom_site_fract_y
_atom_site_fract_z
Nd1 0.0000 0.0000 0.0000
Nd2 0.5000 0.5000 0.5000
Y1 0.2468 0.3169 0.0000
Y2 0.2532 0.8169 0.5000
Y3 0.7468 0.1831 0.5000
Y4 0.7532 0.6831 0.0000
Ho1 0.2478 0.1458 0.5000
Ho2 0.2522 0.6458 0.0000
Ho3 0.7478 0.3542 0.0000
Ho4 0.7522 0.8542 0.5000
Sc1 0.0000 0.5000 0.0000
Sc2 0.5000 0.0000 0.5000
```

Results
The total energy comes out at -5.2568 eV/atom. As for the symmetry: No. 58.

=====

(8)
NdYHoSc | PBE-GGA | optimized geometry

Structure (CIF):
```
data_NdYHoSc
_cell_length_a 6.6899
_cell_length_b 6.6899
_cell_length_c 3.8156
_cell_angle_alpha 106.54
_cell_angle_beta 106.54
_cell_angle_gamma 49.72
_symmetry_space_group_name_H-M 'P 1'
_symmetry_Int_Tables_number 1
_symmetry_space_group_name_Hall 'P 1'
loop_
_atom_site_label
_atom_site_fract_x
_atom_site_fract_y
_atom_site_fract_z
Nd1 0.0000 0.0000 0.0000
Y1 0.2774 0.2774 0.7789
Ho1 0.5433 0.5433 0.5439
Sc1 0.7695 0.7695 0.2702
```

Results
The calculation puts the energy above the lowest structure with this stoichiometry at 0.000 eV/atom. As for the symmetry: No. 8.

=====

Please write out number 1 again, unchanged.
Nd6Ho2Tm3Sc | PBE-GGA | optimized geometry

Structure (CIF):
```
data_Nd6Ho2Tm3Sc
_cell_length_a 6.2120
_cell_length_b 6.2120
_cell_length_c 11.6865
_cell_angle_alpha 95.08
_cell_angle_beta 95.08
_cell_angle_gamma 120.00
_symmetry_space_group_name_H-M 'P 1'
_symmetry_Int_Tables_number 1
_symmetry_space_group_name_Hall 'P 1'
loop_
_atom_site_label
_atom_site_fract_x
_atom_site_fract_y
_atom_site_fract_z
Nd1 0.0828 0.4135 0.7486
Nd2 0.2480 0.2480 0.2513
Nd3 0.4135 0.0828 0.7486
Nd4 0.5865 0.9172 0.2514
Nd5 0.7520 0.7520 0.7487
Nd6 0.9172 0.5865 0.2514
Ho1 0.3333 0.6667 0.5000
Ho2 0.6667 0.3333 0.5000
Tm1 0.1666 0.8334 0.0000
Tm2 0.5000 0.5000 0.0000
Tm3 0.8334 0.1666 0.0000
Sc1 0.0000 0.0000 0.5000
```

Results
The total energy comes out at -4.7674 eV/atom. As for the symmetry: No. 12.

=====

> What is the formula in the first record?

Nd6Ho2Tm3Sc